[1]
{
  "formula": "BeReRh",
  "functional": "PBE",
  "state": "relaxed",
  "lattice_angstrom": [[3.5796, 0.0000, 0.0000], [0.0000, 3.5796, 0.0000], [0.0000, 0.0000, 6.1746]],
  "species": ["Be", "Be", "Re", "Re", "Rh", "Rh"],
  "frac_coords": [[0.2500, 0.2500, 0.1982], [0.7500, 0.7500, 0.8018], [0.2500, 0.7500, 0.5000], [0.7500, 0.2500, 0.5000], [0.2500, 0.2500, 0.8369], [0.7500, 0.7500, 0.1631]],
  "sg": "P4/nmm, No. 129",
  "e_form_ev_per_atom": -0.06,
  "polymorph_energy_ev_per_atom": 0.223
}

[2]
{
  "formula": "Y2ZrS4",
  "functional": "PBE",
  "state": "relaxed",
  "lattice_angstrom": [[6.9386, -1.9409, 0.0000], [6.9386, 1.9409, 0.0000], [-3.3634, 0.0000, 6.0732]],
  "species": ["Y", "Y", "Zr", "S", "S", "S", "S"],
  "frac_coords": [[0.2309, 0.2309, 0.2199], [0.7691, 0.7691, 0.7801], [0.5000, 0.5000, 0.5000], [0.1291, 0.1291, 0.4856], [0.3834, 0.3834, 0.0726], [0.6166, 0.6166, 0.9274], [0.8709, 0.8709, 0.5144]],
  "sg": "C2/m, No. 12",
  "e_form_raw_mev_per_atom": -1827
}

[3]
{
  "formula": "AcDy2HoTm4",
  "functional": "PBE",
  "state": "relaxed",
  "lattice_angstrom": [[5.0485, 0.0000, 0.0000], [0.0000, 5.0695, 0.0000], [0.0000, 0.0000, 10.0370]],
  "species": ["Ac", "Dy", "Dy", "Ho", "Tm", "Tm", "Tm", "Tm"],
  "frac_coords": [[0.0000, 0.0000, 0.0000], [0.0000, 0.0000, 0.5000], [0.5000, 0.5000, 0.0000], [0.5000, 0.5000, 0.5000], [0.0000, 0.5000, 0.2589], [0.0000, 0.5000, 0.7411], [0.5000, 0.0000, 0.2591], [0.5000, 0.0000, 0.7409]],
  "sg": "Pmmm, No. 47",
  "e_form_ev_per_atom": 0.05
}

no.,density of states at the Fermi level (states/eV/atom)
1,0.6339
2,0.1696
3,1.4814